(1)
Density functional theory data (SCAN) for a PBEsol-optimized structure of ZrBe2TlS.

Cell and atoms, written as POSCAR:
```
ZrBe2TlS
1.0
-1.2687 -0.5996 -4.6034
3.1865 -3.7636 -0.3880
-3.5517 -3.1503 1.3892
Be Tl S Zr
2 1 1 1
Direct
0.0000 0.0000 0.5000
0.0000 0.5000 0.0000
0.5000 0.5000 0.5000
0.5000 0.0000 0.0000
0.0000 0.0000 0.0000
```

Symmetry: P4/mmm (123)
D(E_F) (states/eV per atom): 0.68
Uncorrected energy (eV/atom): -23.648
Raw formation energy (eV per atom): 0.63

---

(2)
Density functional theory data (SCAN) for a PBEsol-optimized structure of YBe3S.

Cell and atoms, written as POSCAR:
```
YBe3S
1.0
-4.9324 -0.7481 -0.2428
0.5304 -4.3023 2.4812
-0.5808 2.4245 4.3281
Y Be S
1 3 1
Direct
0.0000 0.0000 0.0000
0.0000 0.5000 0.0000
0.0000 0.0000 0.5000
0.5000 0.0000 0.0000
0.5000 0.5000 0.5000
```

Symmetry: Pm-3m (221)
D(E_F) (states/eV per atom): 0.55
Uncorrected energy (eV/atom): -7.996
Raw formation energy (eV per atom): 2.11

---

(3)
Density functional theory data (SCAN) for a PBEsol-optimized structure of BeZnS2.

Cell and atoms, written as POSCAR:
```
BeZnS2
1.0
-0.0455 -2.8799 -2.4253
2.5206 -0.1490 -2.7933
4.7493 -4.1969 1.9715
Be Zn S
1 1 2
Direct
0.0000 0.0000 0.0000
0.5000 0.5000 0.5000
0.8998 0.8998 0.3005
0.1002 0.1002 0.6995
```

Symmetry: R-3m (166)
D(E_F) (states/eV per atom): 0.00
Uncorrected energy (eV/atom): -9.852
Relative energy among the computed polymorphs (eV/atom): 0.511
Raw formation energy (eV per atom): -0.57

---

(4)
Density functional theory data (SCAN) for a PBEsol-optimized structure of BeZnS2.

Cell and atoms, written as POSCAR:
```
BeZnS2
1.0
-0.3585 4.5629 -2.2920
2.0093 -1.9862 -4.2684
-5.4390 -2.4664 1.6566
Be Zn S
2 2 4
Direct
0.7500 0.2500 0.5000
0.5000 0.5000 0.0000
0.2500 0.7500 0.5000
0.0000 0.0000 0.0000
0.8403 0.3750 0.2500
0.4097 0.8750 0.2500
0.6250 0.5903 0.7500
0.1250 0.1597 0.7500
```

Symmetry: I-42d (122)
D(E_F) (states/eV per atom): 0.00
Uncorrected energy (eV/atom): -10.363
Relative energy among the computed polymorphs (eV/atom): 0.000
Raw formation energy (eV per atom): -1.08

---

(5)
Density functional theory data (SCAN) for a PBEsol-optimized structure of BeZnS2.

Cell and atoms, written as POSCAR:
```
BeZnS2
1.0
-0.3727 1.2628 -3.3569
1.3776 -1.8367 -2.7806
-4.7527 -3.1675 -2.6006
Be Zn S
1 1 2
Direct
0.4999 0.4999 0.5004
0.9985 0.9985 0.0044
0.8688 0.8688 0.3935
0.3828 0.3828 0.8517
```

Symmetry: R3m (160)
D(E_F) (states/eV per atom): 0.00
Uncorrected energy (eV/atom): -10.326
Relative energy among the computed polymorphs (eV/atom): 0.037
Raw formation energy (eV per atom): -1.04

---

(6)
Density functional theory data (SCAN) for a PBEsol-optimized structure of ZrBeS3.

Cell and atoms, written as POSCAR:
```
ZrBeS3
1.0
-3.4191 2.9041 1.9598
-2.3137 -3.9279 1.7840
2.6308 0.3197 4.1160
Be S Zr
1 3 1
Direct
0.5000 0.5000 0.5000
0.0000 0.5000 0.0000
0.0000 0.0000 0.5000
0.5000 0.0000 0.0000
0.0000 0.0000 0.0000
```

Symmetry: Pm-3m (221)
D(E_F) (states/eV per atom): 0.55
Uncorrected energy (eV/atom): -12.925
Raw formation energy (eV per atom): -0.14